Arrangement w

# ErTmSiRh, relaxed, DFT GGA-PBE
# * total moment: 0.00 μB/cell
data_ErTmSiRh
_chemical_formula_sum 'Er4 Tm4 Si4 Rh4'
_space_group_name_H-M_alt 'F -4 3 m'
_space_group_IT_number 216
_space_group_name_Hall 'F -4 2 3'
_cell_length_a 6.871
_cell_length_b 6.871
_cell_length_c 6.871
_cell_angle_alpha 90.00
_cell_angle_beta 90.00
_cell_angle_gamma 90.00
loop_
_atom_site_label
_atom_site_type_symbol
_atom_site_fract_x
_atom_site_fract_y
_atom_site_fract_z
Er1 Er 0.000 0.000 0.000
Tm1 Tm 0.000 0.000 0.500
Si1 Si 0.250 0.250 0.250
Rh1 Rh 0.250 0.250 0.750

Arrangement x

# ErTmSiRh, relaxed, DFT GGA-PBE
# * total moment: 0.00 μB/cell
data_ErTmSiRh
_chemical_formula_sum 'Er2 Tm2 Si2 Rh2'
_space_group_name_H-M_alt 'A m m 2'
_space_group_IT_number 38
_cell_length_a 3.978
_cell_length_b 4.082
_cell_length_c 10.430
_cell_angle_alpha 90.00
_cell_angle_beta 90.00
_cell_angle_gamma 90.00
loop_
_space_group_symop_operation_xyz
'x,y,z'
'-x,-y,z'
'-x,y,z'
'x,-y,z'
'x,y+1/2,z+1/2'
'-x,-y+1/2,z+1/2'
'-x,y+1/2,z+1/2'
'x,-y+1/2,z+1/2'
loop_
_atom_site_label
_atom_site_type_symbol
_atom_site_fract_x
_atom_site_fract_y
_atom_site_fract_z
Er1 Er 0.000 0.000 0.000
Tm1 Tm 0.500 0.000 0.718
Si1 Si 0.000 0.000 0.288
Rh1 Rh 0.500 0.000 0.436

Ordering by calculated energy gives the sequence arrangement x, arrangement w, with the first entry being the most stable.

Arrangement w

# SmEr2Rh2, relaxed, DFT GGA-PBE
# * total moment: 0.00 μB/cell
data_SmEr2Rh2
_chemical_formula_sum 'Sm2 Er4 Rh4'
_space_group_name_H-M_alt 'C 1 2/m 1'
_space_group_IT_number 12
_cell_length_a 6.336
_cell_length_b 6.331
_cell_length_c 6.592
_cell_angle_alpha 90.00
_cell_angle_beta 114.16
_cell_angle_gamma 90.00
loop_
_space_group_symop_operation_xyz
'x,y,z'
'-x,-y,-z'
'-x,y,-z'
'x,-y,z'
'x+1/2,y+1/2,z'
'-x+1/2,-y+1/2,-z'
'-x+1/2,y+1/2,-z'
'x+1/2,-y+1/2,z'
loop_
_atom_site_label
_atom_site_type_symbol
_atom_site_fract_x
_atom_site_fract_y
_atom_site_fract_z
Sm1 Sm 0.000 0.000 0.000
Er1 Er 0.000 0.253 0.500
Rh1 Rh 0.133 0.500 0.213

Arrangement x

# SmEr2Rh2, relaxed, DFT GGA-PBE
# * total moment: 0.00 μB/cell
data_SmEr2Rh2
_chemical_formula_sum 'Sm4 Er8 Rh8'
_space_group_name_H-M_alt 'C m c m'
_space_group_IT_number 63
_space_group_name_Hall '-C 2c 2'
_cell_length_a 4.055
_cell_length_b 24.854
_cell_length_c 4.679
_cell_angle_alpha 90.00
_cell_angle_beta 90.00
_cell_angle_gamma 90.00
loop_
_atom_site_label
_atom_site_type_symbol
_atom_site_fract_x
_atom_site_fract_y
_atom_site_fract_z
Sm1 Sm 0.000 0.136 0.250
Er1 Er 0.000 0.250 0.750
Er2 Er 0.000 0.447 0.250
Rh1 Rh 0.000 0.030 0.250
Rh2 Rh 0.000 0.324 0.250

Ordering by calculated energy gives the sequence arrangement x, arrangement w, with the first entry being the most stable.

Arrangement w

# Sm2ErRh, relaxed, DFT GGA-PBE
# * total moment: 0.00 μB/cell
data_Sm2ErRh
_chemical_formula_sum 'Sm8 Er4 Rh4'
_space_group_name_H-M_alt 'P n m a'
_space_group_IT_number 62
_cell_length_a 7.217
_cell_length_b 9.781
_cell_length_c 6.291
_cell_angle_alpha 90.00
_cell_angle_beta 90.00
_cell_angle_gamma 90.00
loop_
_space_group_symop_operation_xyz
'x,y,z'
'-x,-y,-z'
'-x+1/2,-y,z+1/2'
'x+1/2,y,-z+1/2'
'x+1/2,-y+1/2,-z+1/2'
'-x+1/2,y+1/2,z+1/2'
'-x,y+1/2,-z'
'x,-y+1/2,z'
loop_
_atom_site_label
_atom_site_type_symbol
_atom_site_fract_x
_atom_site_fract_y
_atom_site_fract_z
Sm1 Sm 0.179 0.065 0.170
Er1 Er 0.037 0.250 0.647
Rh1 Rh 0.121 0.750 0.947

Arrangement x

# Sm2ErRh, relaxed, DFT GGA-PBE
# * total moment: 0.11 μB/cell
data_Sm2ErRh
_chemical_formula_sum 'Sm6 Er3 Rh3'
_space_group_name_H-M_alt 'R -3 m'
_space_group_IT_number 166
_space_group_name_Hall '-R 3 2"'
_cell_length_a 3.6593
_cell_length_b 3.6593
_cell_length_c 31.7505
_cell_angle_alpha 90.00
_cell_angle_beta 90.00
_cell_angle_gamma 120.00
loop_
_atom_site_label
_atom_site_type_symbol
_atom_site_fract_x
_atom_site_fract_y
_atom_site_fract_z
Sm1 Sm 0.0000 0.0000 0.1092
Er1 Er 0.0000 0.0000 0.0000
Rh1 Rh 0.0000 0.0000 0.5000

Arrangement y

# Sm2ErRh, relaxed, DFT GGA-PBE
# * total moment: 0.00 μB/cell
data_Sm2ErRh
_chemical_formula_sum 'Sm2 Er1 Rh1'
_space_group_name_H-M_alt 'P 4/m m m'
_space_group_IT_number 123
_space_group_name_Hall '-P 4 2'
_cell_length_a 3.570
_cell_length_b 3.570
_cell_length_c 8.626
_cell_angle_alpha 90.00
_cell_angle_beta 90.00
_cell_angle_gamma 90.00
loop_
_atom_site_label
_atom_site_type_symbol
_atom_site_fract_x
_atom_site_fract_y
_atom_site_fract_z
Sm1 Sm 0.000 0.000 0.192
Er1 Er 0.500 0.500 0.500
Rh1 Rh 0.500 0.500 0.000

Arrangement z

# Sm2ErRh, relaxed, DFT GGA-PBE
# * total moment: 0.00 μB/cell
data_Sm2ErRh
_chemical_formula_sum 'Sm8 Er4 Rh4'
_space_group_name_H-M_alt 'P n n a'
_space_group_IT_number 52
_cell_length_a 6.663
_cell_length_b 6.365
_cell_length_c 11.410
_cell_angle_alpha 90.00
_cell_angle_beta 90.00
_cell_angle_gamma 90.00
loop_
_space_group_symop_operation_xyz
'x,y,z'
'-x,-y,-z'
'-x+1/2,-y,z'
'x+1/2,y,-z'
'x,-y+1/2,-z+1/2'
'-x,y+1/2,z+1/2'
'-x+1/2,y+1/2,-z+1/2'
'x+1/2,-y+1/2,z+1/2'
loop_
_atom_site_label
_atom_site_type_symbol
_atom_site_fract_x
_atom_site_fract_y
_atom_site_fract_z
Sm1 Sm 0.090 0.245 0.088
Er1 Er 0.070 0.250 0.750
Rh1 Rh 0.250 0.000 0.589

Ordering by calculated energy gives the sequence arrangement w, arrangement z, arrangement y, arrangement x, with the first entry being the most stable.